(1)
# Dy2SiAu3, optimized geometry, DFT GGA-PBE
data_Dy2SiAu3
_space_group_name_H-M_alt 'P m m 2'
_space_group_IT_number 25
_cell_length_a 3.505
_cell_length_b 4.471
_cell_length_c 8.055
_cell_angle_alpha 90.00
_cell_angle_beta 90.00
_cell_angle_gamma 90.00
loop_
_space_group_symop_operation_xyz
'x,y,z'
'-x,-y,z'
'-x,y,z'
'x,-y,z'
loop_
_atom_site_label
_atom_site_type_symbol
_atom_site_fract_x
_atom_site_fract_y
_atom_site_fract_z
Dy1 Dy 0.000 0.000 0.000
Dy2 Dy 0.000 0.500 0.490
Si1 Si 0.500 0.500 0.823
Au1 Au 0.500 0.000 0.337
Au2 Au 0.500 0.000 0.681
Au3 Au 0.500 0.500 0.137
# formation energy from raw total energies = -457 kJ/mol of formula units



(2)
# Dy2Si3Au, optimized geometry, DFT GGA-PBE
data_Dy2Si3Au
_space_group_name_H-M_alt 'I m m 2'
_space_group_IT_number 44
_cell_length_a 4.036
_cell_length_b 4.156
_cell_length_c 14.248
_cell_angle_alpha 90.00
_cell_angle_beta 90.00
_cell_angle_gamma 90.00
loop_
_space_group_symop_operation_xyz
'x,y,z'
'-x,-y,z'
'-x,y,z'
'x,-y,z'
'x+1/2,y+1/2,z+1/2'
'-x+1/2,-y+1/2,z+1/2'
'-x+1/2,y+1/2,z+1/2'
'x+1/2,-y+1/2,z+1/2'
loop_
_atom_site_label
_atom_site_type_symbol
_atom_site_fract_x
_atom_site_fract_y
_atom_site_fract_z
Dy1 Dy 0.000 0.000 0.000
Dy2 Dy 0.000 0.500 0.268
Si1 Si 0.000 0.000 0.426
Si2 Si 0.000 0.500 0.680
Si3 Si 0.000 0.500 0.842
Au1 Au 0.000 0.000 0.595
# formation energy from raw total energies = -436 kJ/mol of formula units